This record from the Alexandria database describes Nd2YIn3 after structural relaxation. The functional is GGA-PBE.

Cell lengths 3.8246, 3.8246, 11.5989 Å; angles 90.00, 90.00, 90.00 degrees
Fractional coordinates of all 6 atoms:
Y 0.5000 0.5000 0.5000
Nd 0.5000 0.5000 0.1713
In 0.0000 0.0000 0.6565
In 0.0000 0.0000 0.3435
Nd 0.5000 0.5000 0.8287
In 0.0000 0.0000 0.0000

**Space-group type**: P4/mmm, No. 123
**VASP energy**: -4.5347 eV/atom
**ΔE to the lowest computed polymorph**: 0.000 eV per atom
**Energy of formation**: -499 meV/atom